Record 1
The following is a DFT calculation (PBE) of crystalline ScNiRh2 at its relaxed geometry.

Unit cell a=3.248 b=3.248 c=5.680 alpha=90.00 beta=90.00 gamma=90.00
Fractional positions:
Ni 0.500 0.500 0.783
Rh 0.500 0.500 0.246
Rh 0.000 0.000 0.965
Sc 0.000 0.000 0.506

## Properties
Space group: P4mm
DOS(E_F) (states/eV/atom): 0.823
Raw total energy (eV for the cell shown): -28.1

=====

Record 2
The following is a DFT calculation (PBE) of crystalline ScNiRh2 at its relaxed geometry.

Unit cell a=8.347 b=8.347 c=8.347 alpha=20.24 beta=20.24 gamma=20.24
Site moments in Bohr magnetons follow the coordinates.
Fractional positions:
Rh 0.002 0.002 0.002  0.21
Rh 0.498 0.498 0.498  0.21
Ni 0.750 0.750 0.750  0.85
Sc 0.250 0.250 0.250  -0.06

## Properties
Space group: R-3m
DOS(E_F) (states/eV/atom): 1.305
Raw total energy (eV for the cell shown): -27.3

=====

Record 3
The following is a DFT calculation (PBE) of crystalline Sc3NiRh at its relaxed geometry.

Unit cell a=4.928 b=4.928 c=4.928 alpha=90.00 beta=90.00 gamma=90.00
Fractional positions:
Rh 0.000 0.000 0.000
Ni 0.500 0.500 0.500
Sc 0.000 0.000 0.500
Sc 0.500 0.000 0.000
Sc 0.000 0.500 0.000

## Properties
Relative energy among the computed polymorphs (eV per atom): 0.665
Space group: Pm-3m
DOS(E_F) (states/eV/atom): 0.982
Raw total energy (eV for the cell shown): -31.8

=====

Record 4
The following is a DFT calculation (PBE) of crystalline Sc2NiRh at its relaxed geometry.

Unit cell a=5.391 b=5.391 c=5.391 alpha=139.06 beta=139.06 gamma=59.29
Fractional positions:
Ni 0.500 0.500 0.000
Sc 0.250 0.750 0.500
Sc 0.000 0.000 0.000
Rh 0.750 0.250 0.500

## Properties
Space group: I-4m2
DOS(E_F) (states/eV/atom): 0.567
Raw total energy (eV for the cell shown): -28.1

=====

Record 5
The following is a DFT calculation (PBE) of crystalline Sc2NiRh at its relaxed geometry.

Unit cell a=3.182 b=3.182 c=6.497 alpha=90.00 beta=90.00 gamma=90.00
Fractional positions:
Rh 0.000 0.500 0.000
Sc 0.500 0.000 0.254
Sc 0.500 0.000 0.746
Ni 0.000 0.500 0.500

## Properties
Space group: P4/mmm
DOS(E_F) (states/eV/atom): 0.642
Raw total energy (eV for the cell shown): -28.8

=====

Record 6
The following is a DFT calculation (PBE) of crystalline Sc2NiRh at its relaxed geometry.

Unit cell a=4.538 b=4.538 c=4.538 alpha=60.00 beta=60.00 gamma=60.00
Fractional positions:
Sc 0.500 0.500 0.500
Sc 0.000 0.000 0.000
Ni 0.750 0.750 0.750
Rh 0.250 0.250 0.250

## Properties
Space group: Fm-3m
DOS(E_F) (states/eV/atom): 0.980
Raw total energy (eV for the cell shown): -28.8

=====

Record 7
The following is a DFT calculation (PBE) of crystalline ScNi2Rh at its relaxed geometry.

Unit cell a=3.147 b=3.141 c=5.675 alpha=90.00 beta=90.00 gamma=90.00
Site moments in Bohr magnetons follow the coordinates.
Fractional positions:
Sc 0.500 0.500 0.758  -0.03
Ni 0.500 0.500 0.226  0.54
Ni 0.000 0.000 0.034  0.24
Rh 0.000 0.000 0.482  0.09

## Properties
Space group: P4mm
DOS(E_F) (states/eV/atom): 0.957
Raw total energy (eV for the cell shown): -26.6

=====

Record 8
The following is a DFT calculation (PBE) of crystalline ScNi2Rh at its relaxed geometry.

Unit cell a=4.632 b=4.632 c=4.632 alpha=130.88 beta=130.88 gamma=72.00
Site moments in Bohr magnetons follow the coordinates.
Fractional positions:
Rh 0.500 0.500 0.000  0.20
Ni 0.250 0.750 0.500  0.46
Ni 0.000 0.000 0.000  0.26
Sc 0.750 0.250 0.500  -0.03

## Properties
Space group: I-4m2
DOS(E_F) (states/eV/atom): 1.494
Raw total energy (eV for the cell shown): -26.8